Version one
Below is a relaxed structure of HoMgBi, with properties calculated at the GGA-PBE level.

Summary:
The volume is 165.0 Å³/cell. For the size of the total moment, the calculation gives 0.27 μB/cell. The value obtained for the density is 8.0 Mg/m³.

a = 3.837 Å, b = 3.837 Å, c = 11.204 Å
α = 90.00°, β = 90.00°, γ = 90.00°
Space group I4mm (No. 107)
Unique sites:
Ho 0.000 0.000 0.000 [2 per cell]
Mg 0.000 0.000 0.678 [2 per cell]
Bi 0.000 0.000 0.321 [2 per cell]


Version two
Below is a relaxed structure of HoMgBi, with properties calculated at the GGA-PBE level.

Summary:
The volume is 81.6 Å³/cell. For the size of the total moment, the calculation gives 0.00 μB/cell. The value obtained for the density is 8.1 Mg/m³.

a = 5.0426 Å, b = 5.0426 Å, c = 3.7060 Å
α = 90.00°, β = 90.00°, γ = 120.00°
Space group P3m1 (No. 156)
Unique sites:
Ho 0.0000 0.0000 0.0000 [1 per cell]
Mg 0.6667 0.3333 0.4997 [1 per cell]
Bi 0.3333 0.6667 0.5012 [1 per cell]


version two is the most stable structure; the next one sits 0.039 eV/atom above it.


Version one
Below is a relaxed structure of HoMg2Bi, with properties calculated at the GGA-PBE level.

Summary:
The volume is 345.6 Å³/cell. For the size of the total moment, the calculation gives 0.00 μB/cell. The value obtained for the density is 6.1 Mg/m³.

a = 3.3781 Å, b = 3.3781 Å, c = 34.9681 Å
α = 90.00°, β = 90.00°, γ = 120.00°
Space group R-3m (No. 166, hexagonal axes)
Unique sites:
Ho 0.0000 0.0000 0.0000 [3 per cell]
Mg 0.0000 0.0000 0.0905 [6 per cell]
Bi 0.0000 0.0000 0.5000 [3 per cell]


Version two
Below is a relaxed structure of HoMg2Bi, with properties calculated at the GGA-PBE level.

Summary:
The volume is 103.2 Å³/cell. For the size of the total moment, the calculation gives 0.00 μB/cell. The value obtained for the density is 6.8 Mg/m³.

a = 4.561 Å, b = 4.561 Å, c = 4.960 Å
α = 90.00°, β = 90.00°, γ = 90.00°
Space group P4/mmm (No. 123)
Unique sites:
Ho 0.000 0.000 0.000 [1 per cell]
Mg 0.000 0.500 0.500 [2 per cell]
Bi 0.500 0.500 0.000 [1 per cell]


version two is the most stable structure; the next one sits 0.502 eV/atom above it.


Version one
Below is a relaxed structure of Ho2BiN, with properties calculated at the GGA-PBE level.

Summary:
The volume is 80.2 Å³/cell. For the size of the total moment, the calculation gives 0.00 μB/cell. The value obtained for the density is 11.4 Mg/m³.

a = 3.206 Å, b = 3.206 Å, c = 7.801 Å
α = 90.00°, β = 90.00°, γ = 90.00°
Space group P4/mmm (No. 123)
Unique sites:
Ho 0.000 0.000 0.183 [2 per cell]
Bi 0.500 0.500 0.500 [1 per cell]
N 0.500 0.500 0.000 [1 per cell]


Version two
Below is a relaxed structure of Ho2BiN, with properties calculated at the GGA-PBE level.

Summary:
The volume is 186.5 Å³/cell. For the size of the total moment, the calculation gives 0.00 μB/cell. The value obtained for the density is 9.8 Mg/m³.

a = 4.541 Å, b = 4.541 Å, c = 9.043 Å
α = 90.00°, β = 90.00°, γ = 90.00°
Space group P4/nmm (No. 129, origin choice 2)
Unique sites:
Ho 0.250 0.250 0.183 [2 per cell]
Ho 0.250 0.750 0.500 [2 per cell]
Bi 0.250 0.250 0.814 [2 per cell]
N 0.250 0.250 0.425 [2 per cell]


Version three
Below is a relaxed structure of Ho2BiN, with properties calculated at the GGA-PBE level.

Summary:
The volume is 255.0 Å³/cell. For the size of the total moment, the calculation gives 0.00 μB/cell. The value obtained for the density is 10.8 Mg/m³.

a = 3.5866 Å, b = 3.5866 Å, c = 22.8934 Å
α = 90.00°, β = 90.00°, γ = 120.00°
Space group R-3m (No. 166, hexagonal axes)
Unique sites:
Ho 0.0000 0.0000 0.2220 [6 per cell]
Bi 0.0000 0.0000 0.0000 [3 per cell]
N 0.0000 0.0000 0.5000 [3 per cell]


version two is the most stable structure; the next one sits 0.170 eV/atom above it.


Version one
Below is a relaxed structure of NaHoBi2, with properties calculated at the GGA-PBE level.

Summary:
The volume is 119.3 Å³/cell. For the size of the total moment, the calculation gives 0.00 μB/cell. The value obtained for the density is 8.4 Mg/m³.

a = 3.644 Å, b = 3.644 Å, c = 8.980 Å
α = 90.00°, β = 90.00°, γ = 90.00°
Space group P4/mmm (No. 123)
Unique sites:
Na 0.000 0.000 0.000 [1 per cell]
Ho 0.000 0.000 0.500 [1 per cell]
Bi 0.500 0.500 0.261 [2 per cell]


Version two
Below is a relaxed structure of NaHoBi2, with properties calculated at the GGA-PBE level.

Summary:
The volume is 394.4 Å³/cell. For the size of the total moment, the calculation gives 0.00 μB/cell. The value obtained for the density is 7.7 Mg/m³.

a = 4.8636 Å, b = 4.8636 Å, c = 19.2533 Å
α = 90.00°, β = 90.00°, γ = 120.00°
Space group R3m (No. 160, hexagonal axes)
Unique sites:
Na 0.0000 0.0000 0.0000 [3 per cell]
Ho 0.0000 0.0000 0.1801 [3 per cell]
Bi 0.0000 0.0000 0.5917 [3 per cell]
Bi 0.0000 0.0000 0.7626 [3 per cell]


Version three
Below is a relaxed structure of NaHoBi2, with properties calculated at the GGA-PBE level.

Summary:
The volume is 114.9 Å³/cell. For the size of the total moment, the calculation gives 0.00 μB/cell. The value obtained for the density is 8.8 Mg/m³.

a = 5.183 Å, b = 5.183 Å, c = 4.276 Å
α = 90.00°, β = 90.00°, γ = 90.00°
Space group P4/mmm (No. 123)
Unique sites:
Na 0.000 0.000 0.000 [1 per cell]
Ho 0.500 0.500 0.000 [1 per cell]
Bi 0.000 0.500 0.500 [2 per cell]


Version four
Below is a relaxed structure of NaHoBi2, with properties calculated at the GGA-PBE level.

Summary:
The volume is 403.0 Å³/cell. For the size of the total moment, the calculation gives 0.00 μB/cell. The value obtained for the density is 7.5 Mg/m³.

a = 4.4604 Å, b = 4.4604 Å, c = 23.3879 Å
α = 90.00°, β = 90.00°, γ = 120.00°
Space group R-3m (No. 166, hexagonal axes)
Unique sites:
Na 0.0000 0.0000 0.0000 [3 per cell]
Ho 0.0000 0.0000 0.5000 [3 per cell]
Bi 0.0000 0.0000 0.2431 [6 per cell]


version one is the most stable structure; the next one sits 0.031 eV/atom above it.